KLa2Hg, optimized geometry, DFT PBE; ΔH_f (0 K) = 176 meV per atom
1.0
-1.659 0.572 6.341
4.724 -1.423 4.353
-0.501 3.758 -5.378
Hg K La
1 1 2
Direct
0.500 0.500 0.000 Hg
0.750 0.250 0.500 K
0.000 0.000 0.000 La
0.250 0.750 0.500 La

---

ScRe2Ru2, optimized geometry, DFT PBE; distance to the lowest polymorph of the same formula = 25 meV per atom; ΔH_f (0 K) = 12 meV per atom
1.0
7.589 0.000 0.000
0.000 7.589 0.000
0.000 0.000 2.783
Sc Re Ru
2 4 4
Direct
0.000 0.000 0.000 Sc
0.500 0.500 0.000 Sc
0.171 0.671 0.500 Re
0.671 0.829 0.500 Re
0.829 0.329 0.500 Re
0.329 0.171 0.500 Re
0.375 0.875 0.000 Ru
0.875 0.625 0.000 Ru
0.625 0.125 0.000 Ru
0.125 0.375 0.000 Ru

---

CrBiRu, optimized geometry, DFT PBE; distance to the lowest polymorph of the same formula = 0 meV per atom; ΔH_f (0 K) = 197 meV per atom
1.0
-1.593 -1.283 2.201
1.641 -3.651 -0.942
8.062 2.536 5.350
Ru Bi Cr
2 2 2
Direct
0.562 0.731 0.630 Ru
0.438 0.269 0.370 Ru
0.342 0.762 0.169 Bi
0.658 0.238 0.831 Bi
0.034 0.216 0.570 Cr
0.966 0.784 0.430 Cr

---

Ga2HPt, optimized geometry, DFT PBE; distance to the lowest polymorph of the same formula = 0 meV per atom
1.0
-2.348 -2.197 -1.467
0.368 -0.983 -3.375
2.890 -6.090 0.239
H Ga Pt
1 2 1
Direct
0.000 0.000 0.000 H
0.090 0.090 0.731 Ga
0.910 0.910 0.269 Ga
0.500 0.500 0.500 Pt

---

TaP3, optimized geometry, DFT PBE; ΔH_f (0 K) = -70 meV per atom
1.0
3.251 0.000 0.000
-1.625 2.815 0.000
0.000 0.000 6.839
P Ta
3 1
Direct
0.000 0.000 0.005 P
0.000 0.000 0.495 P
0.667 0.333 0.250 P
0.667 0.333 0.750 Ta

---

Tb2Sm2In, optimized geometry, DFT PBE; distance to the lowest polymorph of the same formula = 0 meV per atom; ΔH_f (0 K) = 23 meV per atom
1.0
-2.279 3.393 2.038
-5.842 -0.358 -5.937
-4.250 -5.570 4.518
Tb Sm In
4 4 2
Direct
0.500 0.153 0.653 Tb
0.500 0.653 0.847 Tb
0.500 0.847 0.347 Tb
0.500 0.347 0.153 Tb
0.000 0.352 0.852 Sm
0.000 0.852 0.648 Sm
0.000 0.648 0.148 Sm
0.000 0.148 0.352 Sm
0.000 0.000 0.000 In
0.000 0.500 0.500 In

---

CdAgNF2, optimized geometry, DFT PBE; raw formation energy = -0.018 eV/atom; distance to the lowest polymorph of the same formula = 123 meV per atom
1.0
-2.972 -1.102 3.020
-3.004 -0.512 -3.143
1.065 -3.914 -0.380
N F Ag Cd
1 2 1 1
Direct
0.000 0.000 0.500 N
0.000 0.500 0.000 F
0.500 0.000 0.000 F
0.000 0.000 0.000 Ag
0.500 0.500 0.500 Cd

---

CaSc2AlPd, optimized geometry, DFT PBE; ΔH_f (0 K) = -207 meV per atom
1.0
-3.116 -1.182 -3.902
1.862 -4.503 -0.123
-3.575 -1.569 3.330
Sc Ca Al Pd
2 1 1 1
Direct
0.000 0.000 0.500 Sc
0.500 0.000 0.000 Sc
0.500 0.500 0.500 Ca
0.000 0.500 0.000 Al
0.000 0.000 0.000 Pd

---

AcPr2DyHo5, optimized geometry, DFT PBE; ΔH_f (0 K) = 258 meV per atom
1.0
-6.819 -0.638 -5.584
5.618 -0.550 -6.799
0.728 -7.208 6.927
Ac Pr Dy Ho
2 4 2 10
Direct
0.250 0.250 0.500 Ac
0.750 0.750 0.500 Ac
0.117 0.383 0.000 Pr
0.617 0.117 0.000 Pr
0.383 0.883 0.000 Pr
0.883 0.617 0.000 Pr
0.250 0.750 0.500 Dy
0.750 0.250 0.500 Dy
0.927 0.427 0.269 Ho
0.658 0.158 0.731 Ho
0.073 0.573 0.731 Ho
0.158 0.073 0.731 Ho
0.573 0.658 0.731 Ho
0.842 0.927 0.269 Ho
0.427 0.342 0.269 Ho
0.342 0.842 0.269 Ho
0.500 0.500 0.000 Ho
0.000 0.000 0.000 Ho

---

Sr2HfZnSe5, optimized geometry, DFT PBE; raw formation energy = -1.489 eV/atom
1.0
4.054 0.000 0.000
-2.027 9.092 0.000
0.000 0.000 12.863
Sr Hf Zn Se
4 2 2 10
Direct
0.876 0.752 0.813 Sr
0.109 0.218 0.681 Sr
0.124 0.248 0.313 Sr
0.891 0.782 0.181 Sr
0.790 0.580 0.519 Hf
0.210 0.420 0.019 Hf
0.560 0.121 0.943 Zn
0.440 0.879 0.443 Zn
0.354 0.708 0.003 Se
0.699 0.397 0.875 Se
0.501 0.002 0.777 Se
0.284 0.568 0.661 Se
0.938 0.877 0.552 Se
0.646 0.292 0.503 Se
0.301 0.603 0.375 Se
0.499 0.998 0.277 Se
0.716 0.432 0.161 Se
0.062 0.123 0.052 Se

---

Sc4Ni3Hg, optimized geometry, DFT PBE; ΔH_f (0 K) = -433 meV per atom
1.0
4.547 0.000 0.000
0.000 6.754 0.000
0.000 0.000 9.095
Sc Ni Hg
8 6 2
Direct
0.500 0.770 0.000 Sc
0.500 0.770 0.500 Sc
0.500 0.230 0.000 Sc
0.500 0.230 0.500 Sc
0.000 0.770 0.750 Sc
0.000 0.770 0.250 Sc
0.000 0.230 0.250 Sc
0.000 0.230 0.750 Sc
0.000 0.000 0.000 Ni
0.000 0.000 0.500 Ni
0.500 0.000 0.750 Ni
0.500 0.000 0.250 Ni
0.501 0.500 0.750 Ni
0.499 0.500 0.250 Ni
0.000 0.500 0.000 Hg
0.000 0.500 0.500 Hg

---

K2TeS, optimized geometry, DFT PBE; raw formation energy = -0.685 eV/atom; distance to the lowest polymorph of the same formula = 0 meV per atom
1.0
11.746 0.000 0.000
0.000 11.746 0.000
5.873 5.873 2.774
K Te S
4 2 2
Direct
0.408 0.125 0.250 K
0.342 0.625 0.250 K
0.375 0.592 0.750 K
0.875 0.658 0.750 K
0.000 0.000 0.000 Te
0.750 0.250 0.500 Te
0.500 0.500 0.000 S
0.250 0.750 0.500 S